No. 1
DFT (PBE) results for crystalline KGaPbI2 at its relaxed geometry.

```
KGaPbI2
1.0
-3.7353 -3.2600 -3.5496
4.8193 -1.4669 -3.7242
1.1069 -4.9511 3.3824
Pb I K Ga
1 2 1 1
Direct
0.5000 0.5000 0.5000
0.0000 0.0000 0.5000
0.5000 0.0000 0.0000
0.0000 0.5000 0.0000
0.0000 0.0000 0.0000
```

Output
Spin magnetization, μB per atom: 0.372
Formation energy (no corrections), kJ/mol of atoms: 1
Fermi-level density of states, states/eV per cell: 2.11
SG: P4/mmm, No. 123
V, Å³/cell: 233

No. 2
DFT (PBE) results for crystalline Ag5Ru2F12 at its relaxed geometry.

```
Ag5Ru2F12
1.0
6.3332 0.0000 0.0000
-3.1666 6.5974 1.3179
0.0000 1.7274 7.7966
Ag Ru F
5 2 12
Direct
0.7315 0.4630 0.5388
0.6969 0.3937 0.1880
0.0000 0.0000 0.5000
0.3031 0.6063 0.8120
0.2685 0.5370 0.4612
0.2498 0.0000 0.0000
0.7502 0.0000 0.0000
0.9631 0.9262 0.1765
0.8964 0.2976 0.9829
0.4012 0.2976 0.9829
0.9012 0.2832 0.4303
0.3821 0.2832 0.4303
0.5350 0.0701 0.8231
0.4650 0.9299 0.1769
0.0988 0.7168 0.5697
0.6179 0.7168 0.5697
0.1036 0.7024 0.0171
0.5988 0.7024 0.0171
0.0369 0.0738 0.8235
```

Output
Spin magnetization, μB per atom: 0.140
Formation energy (no corrections), kJ/mol of atoms: -121
Fermi-level density of states, states/eV per cell: 12.77
SG: C2/m, No. 12
V, Å³/cell: 311

No. 3
DFT (PBE) results for crystalline Ba2Mg at its relaxed geometry.

```
Ba2Mg
1.0
-2.6575 -1.2187 -5.5132
5.6384 -2.3217 1.3272
-1.7811 -3.4045 1.6111
Ba Mg
2 1
Direct
0.3333 0.6667 0.3072
0.6667 0.3333 0.6928
0.0000 0.0000 0.0000
```

Output
Spin magnetization, μB per atom: 0.000
Calculated total energy, Ry per atom: -0.127
Fermi-level density of states, states/eV per cell: 4.58
SG: P-3m1, No. 164
V, Å³/cell: 141

No. 4
DFT (PBE) results for crystalline Tm4MgIr at its relaxed geometry.

```
Tm4MgIr
1.0
-8.7305 -1.3942 3.7152
-0.9819 -4.6756 8.3152
-2.6694 4.7551 7.8887
Tm Mg Ir
16 4 4
Direct
0.4035 0.4035 0.4035
0.7896 0.4035 0.4035
0.4035 0.7896 0.4035
0.4035 0.4035 0.7896
0.5616 0.5616 0.9384
0.9384 0.9384 0.5616
0.5616 0.9384 0.5616
0.9384 0.5616 0.9384
0.9384 0.5616 0.5616
0.5616 0.9384 0.9384
0.1866 0.1866 0.8134
0.8134 0.8134 0.1866
0.1866 0.8134 0.1866
0.8134 0.1866 0.8134
0.8134 0.1866 0.1866
0.1866 0.8134 0.8134
0.1704 0.1704 0.1704
0.4889 0.1704 0.1704
0.1704 0.4889 0.1704
0.1704 0.1704 0.4889
0.6090 0.6090 0.6090
0.1729 0.6090 0.6090
0.6090 0.1729 0.6090
0.6090 0.6090 0.1729
```

Output
Spin magnetization, μB per atom: 0.000
Relative energy among the computed polymorphs, kJ/mol of formula units: 0
Fermi-level density of states, states/eV per cell: 22.22
SG: F-43m, No. 216
V, Å³/cell: 624

No. 5
DFT (PBE) results for crystalline SrCr2Cu at its relaxed geometry.

```
SrCr2Cu
1.0
4.3157 0.0000 0.0000
0.0000 4.3996 0.0010
0.0000 4.3797 4.5495
Cr Cu Sr
2 1 1
Direct
0.0000 0.0000 0.0000
0.5000 0.5000 0.0000
0.5000 0.5000 0.5000
0.0000 0.0000 0.5000
```

Output
Spin magnetization, μB per atom: 2.198
Relative energy among the computed polymorphs, kJ/mol of formula units: 182
Fermi-level density of states, states/eV per cell: 2.43
SG: P2/m, No. 10
V, Å³/cell: 86

No. 6
DFT (PBE) results for crystalline TbErPd2 at its relaxed geometry.

```
TbErPd2
1.0
-3.2858 -0.9624 -0.1598
0.4281 -0.6414 -4.9403
1.3572 -4.7559 0.7351
Tb Pd Er
1 2 1
Direct
0.5000 0.5000 0.5000
0.0000 0.0000 0.5000
0.0000 0.5000 0.0000
0.5000 0.0000 0.0000
```

Output
Spin magnetization, μB per atom: 0.000
Relative energy among the computed polymorphs, kJ/mol of formula units: 11
Fermi-level density of states, states/eV per cell: 1.86
SG: P4/mmm, No. 123
V, Å³/cell: 86

No. 7
DFT (PBE) results for crystalline SiOs4Pt at its relaxed geometry.

```
SiOs4Pt
1.0
0.0000 3.6307 3.6307
3.6307 0.0000 3.6307
3.6307 3.6307 0.0000
Si Os Pt
1 4 1
Direct
0.0000 0.0000 0.0000
0.8732 0.3756 0.3756
0.3756 0.3756 0.8732
0.3756 0.8732 0.3756
0.3756 0.3756 0.3756
0.7500 0.7500 0.7500
```

Output
Spin magnetization, μB per atom: 0.000
Formation energy (no corrections), kJ/mol of atoms: 96
Fermi-level density of states, states/eV per cell: 9.25
SG: F-43m, No. 216
V, Å³/cell: 96

No. 8
DFT (PBE) results for crystalline ZrTlSe3 at its relaxed geometry.

```
ZrTlSe3
1.0
-5.3648 0.5721 0.4973
1.9117 -7.4687 -0.2996
0.9124 1.5804 8.0241
Zr Tl Se
2 2 6
Direct
0.8466 0.6932 0.1127
0.1534 0.3068 0.8873
0.6269 0.2537 0.3572
0.3731 0.7463 0.6428
0.8498 0.6996 0.4135
0.3359 0.6717 0.0444
0.9639 0.9279 0.8522
0.1502 0.3004 0.5865
0.0361 0.0721 0.1478
0.6641 0.3283 0.9556
```

Output
Spin magnetization, μB per atom: 0.000
Relative energy among the computed polymorphs, kJ/mol of formula units: 28
Formation energy (no corrections), kJ/mol of atoms: -81
Fermi-level density of states, states/eV per cell: 0.06
SG: C2/m, No. 12
V, Å³/cell: 315

No. 9
DFT (PBE) results for crystalline Sm12Mg3H5 at its relaxed geometry.

```
Sm12Mg3H5
1.0
-3.6100 7.7339 10.9060
-5.9660 -12.4579 0.9978
13.7669 -1.4816 -0.2541
H Mg Sm
20 12 48
Direct
0.1250 0.3750 0.2500
0.0000 0.5000 0.0000
0.0000 0.0000 0.0000
0.3750 0.2500 0.1250
0.5000 0.0000 0.5000
0.5000 0.5000 0.0000
0.1250 0.7500 0.3750
0.7500 0.1250 0.8750
0.7500 0.6250 0.3750
0.3750 0.1250 0.7500
0.6250 0.8750 0.2500
0.5000 0.5000 0.5000
0.5000 0.0000 0.0000
0.0000 0.0000 0.5000
0.2500 0.3750 0.6250
0.2500 0.8750 0.1250
0.0000 0.5000 0.5000
0.8750 0.2500 0.6250
0.6250 0.7500 0.8750
0.8750 0.6250 0.7500
0.7500 0.3750 0.1250
0.8750 0.7500 0.1250
0.3750 0.7500 0.6250
0.2500 0.1250 0.3750
0.8750 0.1250 0.2500
0.3750 0.6250 0.2500
0.6250 0.3750 0.7500
0.1250 0.8750 0.7500
0.7500 0.8750 0.6250
0.6250 0.2500 0.3750
0.1250 0.2500 0.8750
0.2500 0.6250 0.8750
0.7021 0.1055 0.0093
0.3071 0.5093 0.4038
0.9907 0.3945 0.2979
0.5093 0.2021 0.1055
0.5966 0.7021 0.6929
0.9907 0.5962 0.1929
0.3071 0.7979 0.4034
0.0962 0.9034 0.1055
0.5962 0.9907 0.6929
0.7021 0.5966 0.1929
0.7979 0.4907 0.3945
0.8071 0.9038 0.0093
0.1055 0.7021 0.5093
0.3945 0.4038 0.0966
0.0966 0.9038 0.3945
0.4034 0.1055 0.5962
0.0966 0.1929 0.2021
0.4907 0.6929 0.0962
0.8071 0.9034 0.2979
0.1055 0.4034 0.0962
0.3945 0.9907 0.7979
0.5962 0.6055 0.4034
0.9038 0.8071 0.5093
0.7979 0.3071 0.9034
0.4038 0.3945 0.5966
0.0962 0.1929 0.4907
0.2021 0.6929 0.0966
0.1929 0.0966 0.7021
0.6055 0.0093 0.2021
0.8945 0.5966 0.9038
0.5093 0.3071 0.9038
0.5966 0.8945 0.4038
0.9034 0.8071 0.7979
0.9034 0.0962 0.6055
0.8945 0.2979 0.4907
0.1929 0.0962 0.9907
0.6055 0.5962 0.9034
0.4038 0.0093 0.3071
0.2979 0.4034 0.8071
0.2021 0.5093 0.6055
0.9038 0.0966 0.8945
0.6929 0.2021 0.5966
0.4907 0.7979 0.8945
0.0093 0.4038 0.8071
0.4034 0.2979 0.3071
0.0093 0.6055 0.7021
0.6929 0.4907 0.5962
0.2979 0.8945 0.9907
```

Output
Spin magnetization, μB per atom: 0.000
Calculated total energy, Ry per atom: -0.294
Fermi-level density of states, states/eV per cell: 72.57
SG: Ia-3d, No. 230
V, Å³/cell: 2045

No. 10
DFT (PBE) results for crystalline Sm3Y at its relaxed geometry.

```
Sm3Y
1.0
-0.3071 -2.4042 -2.5672
-1.8155 -4.0798 4.0379
-5.6422 4.3546 1.8630
Sm Y
3 1
Direct
0.0040 0.5000 0.7501
0.0000 0.0000 0.5000
0.9960 0.5000 0.2499
0.0000 0.0000 0.0000
```

Output
Spin magnetization, μB per atom: 0.000
Relative energy among the computed polymorphs, kJ/mol of formula units: 39
Fermi-level density of states, states/eV per cell: 8.10
SG: P2/m, No. 10
V, Å³/cell: 134

No. 11
DFT (PBE) results for crystalline KZr2As3O12 at its relaxed geometry.

```
KZr2As3O12
1.0
-3.8746 -5.6735 -7.0645
-7.4958 -6.2316 1.4455
-9.0203 1.2840 -3.7541
K Zr As O
2 4 6 24
Direct
0.5000 0.5000 0.5000
0.0000 0.0000 0.0000
0.6472 0.6472 0.6472
0.8528 0.8528 0.8528
0.3528 0.3528 0.3528
0.1472 0.1472 0.1472
0.4652 0.0348 0.7500
0.0348 0.7500 0.4652
0.7500 0.4652 0.0348
0.5348 0.9652 0.2500
0.9652 0.2500 0.5348
0.2500 0.5348 0.9652
0.4905 0.8568 0.7351
0.8568 0.7351 0.4905
0.7351 0.4905 0.8568
0.6432 0.0095 0.7649
0.0095 0.7649 0.6432
0.7649 0.6432 0.0095
0.5095 0.1432 0.2649
0.1432 0.2649 0.5095
0.2649 0.5095 0.1432
0.3568 0.9905 0.2351
0.9905 0.2351 0.3568
0.2351 0.3568 0.9905
0.5658 0.7832 0.4311
0.7832 0.4311 0.5658
0.4311 0.5658 0.7832
0.7168 0.9342 0.0689
0.9342 0.0689 0.7168
0.0689 0.7168 0.9342
0.4342 0.2168 0.5689
0.2168 0.5689 0.4342
0.5689 0.4342 0.2168
0.2832 0.0658 0.9311
0.0658 0.9311 0.2832
0.9311 0.2832 0.0658
```

Output
Spin magnetization, μB per atom: 0.000
Formation energy (no corrections), kJ/mol of atoms: -199
Fermi-level density of states, states/eV per cell: 0.00
SG: R-3c, No. 167
V, Å³/cell: 615

No. 12
DFT (PBE) results for crystalline LiPtSe2 at its relaxed geometry.

```
LiPtSe2
1.0
-1.8324 3.3304 -3.5664
-0.5745 0.4831 -5.1580
-3.6626 -1.7554 0.2454
Li Pt Se
1 1 2
Direct
0.4723 0.4723 0.6250
0.2734 0.2734 0.1249
0.0160 0.0160 0.1252
0.7383 0.7383 0.6249
```

Output
Spin magnetization, μB per atom: 0.000
Formation energy (no corrections), kJ/mol of atoms: -37
Fermi-level density of states, states/eV per cell: 2.21
SG: Amm2, No. 38
V, Å³/cell: 70

No. 13
DFT (PBE) results for crystalline Mg2Tl2I5 at its relaxed geometry.

```
Mg2Tl2I5
1.0
6.2206 0.0000 0.0000
-3.1103 7.4710 -0.1380
0.0000 -1.2487 7.9391
Mg Tl I
2 2 5
Direct
0.1655 0.3310 0.8735
0.8345 0.6690 0.1265
0.4153 0.8305 0.6341
0.5847 0.1695 0.3659
0.3268 0.6536 0.1127
0.6732 0.3464 0.8873
0.1519 0.3038 0.5316
0.8481 0.6962 0.4684
0.0000 0.0000 0.0000
```

Output
Spin magnetization, μB per atom: 0.086
Formation energy (no corrections), kJ/mol of atoms: -63
Fermi-level density of states, states/eV per cell: 3.60
SG: C2/m, No. 12
V, Å³/cell: 368

No. 14
DFT (PBE) results for crystalline TlGaSN2 at its relaxed geometry.

```
TlGaSN2
1.0
-2.9143 2.7231 0.4398
-2.0394 -2.5579 2.3238
2.4366 1.9209 4.2528
Tl S Ga N
1 1 1 2
Direct
0.5000 0.5000 0.5000
0.0000 0.0000 0.5000
0.0000 0.0000 0.0000
0.0000 0.5000 0.0000
0.5000 0.0000 0.0000
```

Output
Spin magnetization, μB per atom: 0.622
Relative energy among the computed polymorphs, kJ/mol of formula units: 0
Formation energy (no corrections), kJ/mol of atoms: 101
Fermi-level density of states, states/eV per cell: 1.89
SG: P4/mmm, No. 123
V, Å³/cell: 85

No. 15
DFT (PBE) results for crystalline Hf5Zn2Ga at its relaxed geometry.

```
Hf5Zn2Ga
1.0
7.0094 0.0000 0.0000
0.0000 7.0094 0.0000
-3.5047 -3.5047 6.3576
Hf Zn Ga
10 4 2
Direct
0.5019 0.6855 0.6874
0.8145 0.9981 0.3126
0.0000 0.0000 0.0000
0.5000 0.5000 0.0000
0.1855 0.0019 0.6874
0.6855 0.1855 0.6874
0.0019 0.5019 0.6874
0.3145 0.8145 0.3126
0.9981 0.4981 0.3126
0.4981 0.3145 0.3126
0.1299 0.3701 0.0000
0.6299 0.1299 0.0000
0.3701 0.8701 0.0000
0.8701 0.6299 0.0000
0.7500 0.7500 0.5000
0.2500 0.2500 0.5000
```

Output
Spin magnetization, μB per atom: 0.000
Calculated total energy, Ry per atom: -0.520
Fermi-level density of states, states/eV per cell: 22.41
SG: I4/mcm, No. 140
V, Å³/cell: 312

No. 16
DFT (PBE) results for crystalline ZrMnSi2 at its relaxed geometry.

```
ZrMnSi2
1.0
5.1659 0.1636 -0.0160
2.2669 4.6448 0.0160
-3.7064 -2.4198 2.6686
Mn Si Zr
1 2 1
Direct
0.2489 0.7489 0.5000
0.0022 0.0022 0.0000
0.7497 0.2497 0.5000
0.4991 0.4991 0.0000
```

Output
Spin magnetization, μB per atom: 0.854
Formation energy (no corrections), kJ/mol of atoms: -33
Fermi-level density of states, states/eV per cell: 2.42
SG: Imm2, No. 44
V, Å³/cell: 63

No. 17
DFT (PBE) results for crystalline PuZrCoRu at its relaxed geometry.

```
PuZrCoRu
1.0
4.6597 0.0000 0.0000
2.3298 4.0354 0.0000
2.3298 1.3451 3.8046
Ru Co Zr Pu
1 1 1 1
Direct
0.2500 0.2500 0.2500
0.7500 0.7500 0.7500
0.0000 0.0000 0.0000
0.5000 0.5000 0.5000
```

Output
Spin magnetization, μB per atom: 1.095
Calculated total energy, Ry per atom: -0.735
Fermi-level density of states, states/eV per cell: 6.63
SG: F-43m, No. 216
V, Å³/cell: 72

No. 18
DFT (PBE) results for crystalline Ce4SnBi5 at its relaxed geometry.

```
Ce4SnBi5
1.0
-4.2129 1.7743 -0.0959
-4.7405 -5.6189 -4.7006
-4.3127 -4.0003 6.4451
Ce Sn Bi
4 1 5
Direct
0.2500 0.2891 0.7109
0.9990 0.2510 0.2510
0.5010 0.7490 0.7490
0.2500 0.7109 0.2891
0.2500 0.0000 0.0000
0.5870 0.3401 0.9860
0.9130 0.0140 0.6599
0.7500 0.5000 0.5000
0.5870 0.9860 0.3401
0.9130 0.6599 0.0140
```

Output
Spin magnetization, μB per atom: 0.354
Calculated total energy, Ry per atom: -0.391
Fermi-level density of states, states/eV per cell: 24.33
SG: Immm, No. 71
V, Å³/cell: 322

No. 19
DFT (PBE) results for crystalline MoOsAu2 at its relaxed geometry.

```
MoOsAu2
1.0
0.0000 3.1992 3.1992
3.1992 0.0000 3.1992
3.1992 3.1992 0.0000
Os Mo Au
1 1 2
Direct
0.5000 0.5000 0.5000
0.0000 0.0000 0.0000
0.2500 0.2500 0.2500
0.7500 0.7500 0.7500
```

Output
Spin magnetization, μB per atom: 0.000
Relative energy among the computed polymorphs, kJ/mol of formula units: 204
Fermi-level density of states, states/eV per cell: 4.60
SG: Fm-3m, No. 225
V, Å³/cell: 65